## Pr2ErThSe4 (PBE-GGA)

Data for a geometry-optimized Pr2ErThSe4 structure.

Values from the calculation:
Crystal system = monoclinic
Density of states at the Fermi level = 4.339 states/eV/f.u.

a = 7.2667 Å, b = 4.1522 Å, c = 7.3241 Å
α = 90.00°, β = 108.98°, γ = 90.00°
Last column: nearest neighbours and their distance in Å.
Space group P2/m (No. 10)
Inequivalent atoms, fractional coordinates:
Pr  0.0000  0.0000  0.0000  6 Se 3.06
Pr  0.0000  0.5000  0.5000  6 Se 2.98-2.99
Er  0.5000  0.0000  0.5000  6 Se 2.88
Th  0.5000  0.5000  0.0000  6 Se 2.96
Se  0.2590  0.0000  0.7443  1 Er 2.88, 2 Th 2.96, 3 Pr 2.98-3.06
Se  0.2658  0.5000  0.2633  2 Er 2.88, 1 Th 2.96, 3 Pr 2.99-3.06

***

## Pr2ErTh3Se6 (PBE-GGA)

Data for a geometry-optimized Pr2ErTh3Se6 structure.

Values from the calculation:
Crystal system = monoclinic
Density of states at the Fermi level = 9.212 states/eV/f.u.

a = 18.5082 Å, b = 4.1579 Å, c = 8.4786 Å
α = 90.00°, β = 105.91°, γ = 90.00°
Last column: nearest neighbours and their distance in Å.
Space group C2/m (No. 12)
Inequivalent atoms, fractional coordinates:
Pr  0.1661  0.0000  0.3331  6 Se 2.97-3.00
Er  0.0000  0.5000  0.0000  6 Se 2.86-2.90
Th  0.0000  0.5000  0.5000  6 Se 2.98-3.04
Th  0.1701  0.0000  0.8353  6 Se 2.97-3.02
Se  0.0025  0.0000  0.7636  2 Er 2.90, 3 Th 2.99-3.04, 1 Pr 3.00
Se  0.1604  0.5000  0.0790  1 Er 2.86, 3 Th 2.97-3.02, 2 Pr 2.97
Se  0.1670  0.5000  0.5841  3 Th 2.97-2.98, 3 Pr 2.97-2.98

***

## PrEr2Th3Se6 (PBE-GGA)

Data for a geometry-optimized PrEr2Th3Se6 structure.

Values from the calculation:
Crystal system = monoclinic
Density of states at the Fermi level = 7.834 states/eV/f.u.

a = 7.0498 Å, b = 12.1380 Å, c = 7.5050 Å
α = 90.00°, β = 108.03°, γ = 90.00°
Last column: nearest neighbours and their distance in Å.
Space group C2/m (No. 12)
Inequivalent atoms, fractional coordinates:
Pr  0.0000  0.0000  0.0000  6 Se 2.94-2.98
Er  0.0000  0.3314  0.0000  6 Se 2.84-2.87
Th  0.0000  0.1588  0.5000  6 Se 2.98-3.03
Th  0.0000  0.5000  0.5000  6 Se 2.96-3.02
Se  0.2295  0.5000  0.2299  2 Er 2.84, 1 Pr 2.94, 3 Th 2.96-3.01
Se  0.2467  0.3270  0.7601  2 Er 2.85-2.87, 1 Pr 2.98, 3 Th 2.98-3.03

***

## PrEr2ThSe4 (PBE-GGA)

Data for a geometry-optimized PrEr2ThSe4 structure.

Values from the calculation:
Crystal system = monoclinic
Density of states at the Fermi level = 4.250 states/eV/f.u.

a = 7.0635 Å, b = 4.0520 Å, c = 7.3713 Å
α = 90.00°, β = 108.47°, γ = 90.00°
Last column: nearest neighbours and their distance in Å.
Space group P2/m (No. 10)
Inequivalent atoms, fractional coordinates:
Pr  0.0000  0.0000  0.0000  6 Se 3.02
Er  0.0000  0.5000  0.5000  6 Se 2.85-2.86
Er  0.5000  0.0000  0.5000  6 Se 2.84
Th  0.5000  0.5000  0.0000  6 Se 3.00-3.01
Se  0.2448  0.0000  0.7306  3 Er 2.84-2.85, 2 Th 3.00, 1 Pr 3.02
Se  0.2584  0.5000  0.2704  3 Er 2.84-2.86, 1 Th 3.01, 2 Pr 3.02

***

## Pr4ErTh3Se8 (PBE-GGA)

Data for a geometry-optimized Pr4ErTh3Se8 structure.

Values from the calculation:
Crystal system = trigonal
Density of states at the Fermi level = 8.812 states/eV/f.u.

a = 8.4004 Å, b = 8.4004 Å, c = 20.7921 Å
α = 90.00°, β = 90.00°, γ = 120.00°
Last column: nearest neighbours and their distance in Å.
Space group R-3m (No. 166, hexagonal axes)
Inequivalent atoms, fractional coordinates:
Pr  0.0000  0.0000  0.0000  6 Se 3.07
Pr  0.0000  0.5000  0.0000  6 Se 2.99
Er  0.0000  0.0000  0.5000  6 Se 2.90
Th  0.0000  0.5000  0.5000  6 Se 2.97
Se  0.0000  0.0000  0.2495  3 Th 2.97, 3 Pr 2.99
Se  0.0083  0.5042  0.2471  1 Er 2.90, 2 Th 2.97, 3 Pr 2.99-3.07

***

## Pr3ErTl4Se8 (PBE-GGA)

Data for a geometry-optimized Pr3ErTl4Se8 structure.

Values from the calculation:
Crystal system = trigonal

a = 8.6157 Å, b = 8.6157 Å, c = 23.2746 Å
α = 90.00°, β = 90.00°, γ = 120.00°
Last column: nearest neighbours and their distance in Å.
Space group R-3m (No. 166, hexagonal axes)
Inequivalent atoms, fractional coordinates:
Pr  0.0000  0.5000  0.0000  6 Se 2.99-3.00
Er  0.0000  0.0000  0.0000  6 Se 2.90
Tl  0.0000  0.0000  0.5000  6 Se 3.42
Tl  0.0000  0.5000  0.5000  6 Se 3.33
Se  0.0000  0.0000  0.2621  3 Pr 2.99, 3 Tl 3.33
Se  0.0110  0.5055  0.7361  1 Er 2.90, 2 Pr 3.00

***

## PrEr2Tl3Se6 (PBE-GGA)

Data for a geometry-optimized PrEr2Tl3Se6 structure.

Values from the calculation:
Crystal system = monoclinic

a = 7.3153 Å, b = 12.6640 Å, c = 8.1436 Å
α = 90.00°, β = 107.42°, γ = 90.00°
Last column: nearest neighbours and their distance in Å.
Space group C2/m (No. 12)
Inequivalent atoms, fractional coordinates:
Pr  0.0000  0.0000  0.0000  6 Se 2.98-2.99
Er  0.0000  0.3331  0.0000  6 Se 2.87-2.88
Tl  0.0000  0.1638  0.5000  6 Se 3.30-3.37
Tl  0.0000  0.5000  0.5000  6 Se 3.29-3.37
Se  0.2222  0.5000  0.2036  2 Er 2.87, 1 Pr 2.98
Se  0.2417  0.1729  0.2064  2 Er 2.88, 1 Pr 2.99

***

## Pr3ErTl3Se8 (PBE-GGA)

Data for a geometry-optimized Pr3ErTl3Se8 structure.

Values from the calculation:
Crystal system = monoclinic
Density of states at the Fermi level = 7.052 states/eV/f.u.

a = 14.9096 Å, b = 8.6074 Å, c = 9.0854 Å
α = 90.00°, β = 123.16°, γ = 90.00°
Last column: nearest neighbours and their distance in Å.
Space group C2/m (No. 12)
Inequivalent atoms, fractional coordinates:
Pr  0.0000  0.0000  0.0000  6 Se 2.99
Pr  0.2500  0.2500  0.0000  6 Se 2.98-3.00
Er  0.0000  0.5000  0.0000  6 Se 2.87-2.88
Tl  0.0000  0.5000  0.5000  6 Se 3.28-3.29
Tl  0.2500  0.2500  0.5000  6 Se 3.29
Se  0.0100  0.2594  0.7906  1 Er 2.87, 2 Pr 2.99-3.00
Se  0.2304  0.5000  0.2103  1 Er 2.88, 2 Pr 3.00
Se  0.2393  0.0000  0.2174  3 Pr 2.98-2.99, 3 Tl 3.28-3.29

***

E across the listed records, respectively: -49.253; -77.028; -76.618; -48.781; -101.071; -78.189; -58.409; -74.524 eV/f.u..
ΔE_f (raw) across the listed records, respectively: -1721.7; -1645.0; -1628.8; -1689.7; -1703.4; -1371.6; -1374.8; -1376.5 meV per atom.